Model w:
Material: KCuAsAu
Method: DFT, PBE
State: relaxed

Lattice parameters (Å, degrees): 4.8770 4.8770 4.8770 60.00 60.00 60.00
Fractional coordinates of all 4 atoms:
As  0.0000  0.0000  0.0000
Au  0.7500  0.7500  0.7500
Cu  0.2500  0.2500  0.2500
K  0.5000  0.5000  0.5000

Model x:
Material: KCuAsAu
Method: DFT, PBE
State: relaxed

Lattice parameters (Å, degrees): 4.8691 4.8691 4.8691 60.00 60.00 60.00
Fractional coordinates of all 4 atoms:
As  0.2500  0.2500  0.2500
Au  0.7500  0.7500  0.7500
Cu  0.0000  0.0000  0.0000
K  0.5000  0.5000  0.5000

Least stable: model x

Model w:
Material: NaCuAsAu
Method: DFT, PBE
State: relaxed

Lattice parameters (Å, degrees): 4.6261 4.6261 4.6261 60.00 60.00 60.00
Fractional coordinates of all 4 atoms:
As  0.0000  0.0000  0.0000
Au  0.7500  0.7500  0.7500
Cu  0.2500  0.2500  0.2500
Na  0.5000  0.5000  0.5000

Model x:
Material: NaCuAsAu
Method: DFT, PBE
State: relaxed

Lattice parameters (Å, degrees): 4.6057 4.6057 4.6057 60.00 60.00 60.00
Fractional coordinates of all 4 atoms:
As  0.5000  0.5000  0.5000
Au  0.7500  0.7500  0.7500
Cu  0.0000  0.0000  0.0000
Na  0.2500  0.2500  0.2500

Least stable: model x

Model w:
Material: CuNiAsAu
Method: DFT, PBE
State: relaxed

Lattice parameters (Å, degrees): 4.3487 4.3487 4.3487 60.00 60.00 60.00
Fractional coordinates of all 4 atoms:
As  0.0000  0.0000  0.0000
Au  0.5000  0.5000  0.5000
Cu  0.7500  0.7500  0.7500
Ni  0.2500  0.2500  0.2500

Output
The total moment comes out at 0.000 μB per atom.

Model x:
Material: CuNiAsAu
Method: DFT, PBE
State: relaxed

Lattice parameters (Å, degrees): 4.3797 4.3797 4.3797 60.00 60.00 60.00
Fractional coordinates of all 4 atoms:
As  0.0000  0.0000  0.0000
Au  0.2500  0.2500  0.2500
Cu  0.7500  0.7500  0.7500
Ni  0.5000  0.5000  0.5000

Output
The total moment comes out at 0.000 μB per atom.

Least stable: model x